No. 1
First-principles (GGA-PBE) data for a relaxed Cd4SbAu crystal, as listed in Alexandria via LeMat-Bulk.

Lattice parameters (Å, degrees): 5.813 5.813 5.813 60.00 60.00 60.00
Element x y z (fractional)
Cd (0.376, 0.376, 0.376)
Cd (0.376, 0.376, 0.873)
Cd (0.376, 0.873, 0.376)
Cd (0.873, 0.376, 0.376)
Sb (0.000, 0.000, 0.000)
Au (0.750, 0.750, 0.750)

Values from the calculation:
E_form (uncorrected): 182 meV per atom
Total energy: -1.661 eV per atom
Space group: F-43m (216)
Crystal system: cubic

***

No. 2
First-principles (GGA-PBE) data for a relaxed Tm2TeH crystal, as listed in Alexandria via LeMat-Bulk.

Lattice parameters (Å, degrees): 7.397 7.397 7.397 30.03 30.03 30.03
Element x y z (fractional)
Tm (0.000, 0.000, 0.000)
Tm (0.204, 0.204, 0.204)
Te (0.437, 0.437, 0.437)
H (0.304, 0.304, 0.304)

Values from the calculation:
Energy above the most stable polymorph in this dataset: 0 meV/atom
Total energy: -4.632 eV per atom
Space group: R3m (160)
Crystal system: trigonal

***

No. 3
First-principles (GGA-PBE) data for a relaxed Re2IrO crystal, as listed in Alexandria via LeMat-Bulk.

Lattice parameters (Å, degrees): 7.133 7.133 7.133 143.51 143.51 52.57
Element x y z (fractional)
Re (0.020, 0.625, 0.895)
Re (0.375, 0.270, 0.395)
Re (0.730, 0.125, 0.105)
Re (0.875, 0.980, 0.605)
Ir (0.250, 0.750, 0.500)
Ir (0.500, 0.500, 0.000)
O (0.000, 0.000, 0.000)
O (0.750, 0.250, 0.500)

Values from the calculation:
E_form (uncorrected): 454 meV per atom
Total energy: -9.225 eV per atom
Space group: I-42d (122)
Crystal system: tetragonal

***

No. 4
First-principles (GGA-PBE) data for a relaxed Na3TaAl crystal, as listed in Alexandria via LeMat-Bulk.

Lattice parameters (Å, degrees): 5.478 5.478 5.478 90.00 90.00 90.00
Element x y z (fractional)
Na (0.000, 0.000, 0.500)
Na (0.000, 0.500, 0.000)
Na (0.500, 0.000, 0.000)
Ta (0.500, 0.500, 0.500)
Al (0.000, 0.000, 0.000)

Values from the calculation:
Energy above the most stable polymorph in this dataset: 0 meV/atom
Total energy: -2.378 eV per atom
Space group: Pm-3m (221)
Crystal system: cubic

***

> What is the total energy in the second record?

-4.632 eV per atom

***

> What is the total energy in the second record?

-4.632 eV per atom

***

> What is the formula in the second record?

Tm2TeH